This record from the Alexandria database describes crystalline PtC at its relaxed geometry. The functional is PBE-GGA.

The total energy is -6.319 eV/atom. The calculation puts the distance to the lowest polymorph of the same formula at 915.8 meV/atom. The value obtained for the calculated formation energy is 1.3129 eV/atom.

The structure belongs to space group P4/nmm (No. 129, origin choice 2); the cell edges are 3.485, 3.485 and 4.228 Å and the angles 90.00°, 90.00° and 90.00°. The asymmetric unit holds Pt at (0.250, 0.250, 0.238) and C at (0.250, 0.750, 0.500).

---

This record from the Alexandria database describes crystalline PtC4 at its relaxed geometry. The functional is PBE-GGA.

The total energy is -4.915 eV/atom. The calculation puts the distance to the lowest polymorph of the same formula at 2515.4 meV/atom. The value obtained for the calculated formation energy is 3.6727 eV/atom.

The structure belongs to space group Pm-3m (No. 221); the cell edges are 3.979, 3.979 and 3.979 Å and the angles 90.00°, 90.00° and 90.00°. The asymmetric unit holds Pt at (0.000, 0.000, 0.000), C at (0.000, 0.000, 0.500) and C at (0.500, 0.500, 0.500).

---

This record from the Alexandria database describes crystalline PtC3 at its relaxed geometry. The functional is PBE-GGA.

The total energy is -6.774 eV/atom. The calculation puts the distance to the lowest polymorph of the same formula at 951.0 meV/atom. The value obtained for the calculated formation energy is 1.6544 eV/atom.

The structure belongs to space group P2/m (No. 10); the cell edges are 3.846, 3.301 and 4.074 Å and the angles 90.00°, 107.94° and 90.00°. The asymmetric unit holds Pt at (0.000, 0.000, 0.000), C at (0.007, 0.500, 0.341) and C at (0.500, 0.000, 0.000).

---

This record from the Alexandria database describes crystalline PtC at its relaxed geometry. The functional is PBE-GGA.

The total energy is -7.208 eV/atom. The calculation puts the distance to the lowest polymorph of the same formula at 26.8 meV/atom. The value obtained for the calculated formation energy is 0.4239 eV/atom.

The structure belongs to space group R-3m (No. 166, hexagonal axes); the cell edges are 2.6004, 2.6004 and 33.2181 Å and the angles 90.00°, 90.00° and 120.00°. The asymmetric unit holds Pt at (0.0000, 0.0000, 0.1296) and C at (0.0000, 0.0000, 0.3333).

---

This record from the Alexandria database describes crystalline PtC3 at its relaxed geometry. The functional is PBE-GGA.

The total energy is -5.135 eV/atom. The calculation puts the distance to the lowest polymorph of the same formula at 2589.2 meV/atom. The value obtained for the calculated formation energy is 3.2926 eV/atom.

The structure belongs to space group P4/mmm (No. 123); the cell edges are 3.663, 3.663 and 2.878 Å and the angles 90.00°, 90.00° and 90.00°. The asymmetric unit holds Pt at (0.000, 0.000, 0.000), C at (0.000, 0.500, 0.500) and C at (0.500, 0.500, 0.000).

---

This record from the Alexandria database describes crystalline PtC at its relaxed geometry. The functional is PBE-GGA.

The total energy is -6.549 eV/atom. The calculation puts the distance to the lowest polymorph of the same formula at 686.6 meV/atom. The value obtained for the calculated formation energy is 1.0837 eV/atom.

The structure belongs to space group P4/m (No. 83); the cell edges are 9.714, 9.714 and 3.217 Å and the angles 90.00°, 90.00° and 90.00°. The asymmetric unit holds Pt at (0.118, 0.629, 0.000), Pt at (0.135, 0.301, 0.500), C at (0.103, 0.414, 0.000) and C at (0.220, 0.682, 0.500).

---

This record from the Alexandria database describes crystalline PtC at its relaxed geometry. The functional is PBE-GGA.

The total energy is -6.108 eV/atom. The calculation puts the distance to the lowest polymorph of the same formula at 1127.5 meV/atom. The value obtained for the calculated formation energy is 1.5246 eV/atom.

The structure belongs to space group P4/nmm (No. 129, origin choice 2); the cell edges are 3.768, 3.768 and 4.392 Å and the angles 90.00°, 90.00° and 90.00°. The asymmetric unit holds Pt at (0.250, 0.750, 0.000) and C at (0.250, 0.250, 0.238).

---

This record from the Alexandria database describes crystalline PtC at its relaxed geometry. The functional is PBE-GGA.

The total energy is -6.096 eV/atom. The calculation puts the distance to the lowest polymorph of the same formula at 1139.2 meV/atom. The value obtained for the calculated formation energy is 1.5363 eV/atom.

The structure belongs to space group P4/mmm (No. 123); the cell edges are 4.329, 4.329 and 4.254 Å and the angles 90.00°, 90.00° and 90.00°. The asymmetric unit holds Pt at (0.000, 0.000, 0.000), Pt at (0.000, 0.500, 0.500), C at (0.000, 0.000, 0.500) and C at (0.000, 0.500, 0.000).

---

This record from the Alexandria database describes crystalline Pt3C2 at its relaxed geometry. The functional is PBE-GGA.

The total energy is -6.051 eV/atom. The calculation puts the distance to the lowest polymorph of the same formula at 417.5 meV/atom. The value obtained for the calculated formation energy is 1.2626 eV/atom.

The structure belongs to space group P-3m1 (No. 164); the cell edges are 4.3493, 4.3493 and 4.0273 Å and the angles 90.00°, 90.00° and 120.00°. The asymmetric unit holds Pt at (0.0000, 0.0000, 0.0000), Pt at (0.3333, 0.6667, 0.3118) and C at (0.3333, 0.6667, 0.8055).

---

This record from the Alexandria database describes crystalline PtC at its relaxed geometry. The functional is PBE-GGA.

The total energy is -6.339 eV/atom. The calculation puts the distance to the lowest polymorph of the same formula at 896.2 meV/atom. The value obtained for the calculated formation energy is 1.2933 eV/atom.

The structure belongs to space group R-3m (No. 166, hexagonal axes); the cell edges are 4.7067, 4.7067 and 8.0221 Å and the angles 90.00°, 90.00° and 120.00°. The asymmetric unit holds Pt at (0.0000, 0.0000, 0.1679) and C at (0.0000, 0.0000, 0.4184).

---

This record from the Alexandria database describes crystalline PtC at its relaxed geometry. The functional is PBE-GGA.

The total energy is -6.277 eV/atom. The calculation puts the distance to the lowest polymorph of the same formula at 958.4 meV/atom. The value obtained for the calculated formation energy is 1.3555 eV/atom.

The structure belongs to space group P4/mmm (No. 123); the cell edges are 2.976, 2.976 and 2.882 Å and the angles 90.00°, 90.00° and 90.00°. The asymmetric unit holds Pt at (0.000, 0.000, 0.000) and C at (0.500, 0.500, 0.000).

---

This record from the Alexandria database describes crystalline PtC3 at its relaxed geometry. The functional is PBE-GGA.

The total energy is -5.808 eV/atom. The calculation puts the distance to the lowest polymorph of the same formula at 1916.7 meV/atom. The value obtained for the calculated formation energy is 2.6201 eV/atom.

The structure belongs to space group P4/mmm (No. 123); the cell edges are 3.118, 3.118 and 4.119 Å and the angles 90.00°, 90.00° and 90.00°. The asymmetric unit holds Pt at (0.000, 0.000, 0.000), C at (0.000, 0.000, 0.500) and C at (0.500, 0.500, 0.337).

---

This record from the Alexandria database describes crystalline PtC at its relaxed geometry. The functional is PBE-GGA.

The total energy is -6.452 eV/atom. The calculation puts the distance to the lowest polymorph of the same formula at 783.2 meV/atom. The value obtained for the calculated formation energy is 1.1803 eV/atom.

The structure belongs to space group P2_1/m (No. 11); the cell edges are 2.892, 4.396 and 3.995 Å and the angles 90.00°, 111.04° and 90.00°. The asymmetric unit holds Pt at (0.115, 0.250, 0.229) and C at (0.181, 0.750, 0.359).